No. 1
Here is crystalline LaPmYTm2 at its relaxed geometry from Alexandria. Energies are from GGA-PBE. Values from VASP.

Calculated values
For the total energy, the calculation gives -4.665 eV/atom. As for the symmetry: Cmcm (63). As for the magnetic moment: 0.0 μB per formula unit. Its density is 6.74 g/cm3.

```
&SYSTEM
  ibrav = 0, nat = 10, ntyp = 4
/
ATOMIC_SPECIES
La 138.91 La.upf
Pm 145.00 Pm.upf
Y 88.91 Y.upf
Tm 168.93 Tm.upf
ATOMIC_POSITIONS crystal
La 0.229 0.771 0.750
La 0.771 0.229 0.250
Pm 0.492 0.508 0.750
Pm 0.508 0.492 0.250
Y 0.221 0.779 0.250
Y 0.779 0.221 0.750
Tm 0.188 0.188 0.000
Tm 0.188 0.188 0.500
Tm 0.812 0.812 0.000
Tm 0.812 0.812 0.500
CELL_PARAMETERS angstrom
4.197 -5.770 0.000
4.197 5.770 0.000
0.000 0.000 7.232
```

No. 2
Here is crystalline Ac3LaIr at its relaxed geometry from Alexandria. Energies are from GGA-PBE. Values from VASP.

Calculated values
The energy relative to the lowest polymorph listed for this composition is 122 meV per atom. For the total energy, the calculation gives -5.440 eV/atom. As for the symmetry: Pm-3m (221). As for the magnetic moment: 1.4 μB per formula unit. Its density is 8.09 g/cm3.

```
&SYSTEM
  ibrav = 0, nat = 5, ntyp = 3
/
ATOMIC_SPECIES
Ac 227.00 Ac.upf
La 138.91 La.upf
Ir 192.22 Ir.upf
ATOMIC_POSITIONS crystal
Ac 0.000 0.000 0.500
Ac 0.000 0.500 0.000
Ac 0.500 0.000 0.000
La 0.500 0.500 0.500
Ir 0.000 0.000 0.000
CELL_PARAMETERS angstrom
5.922 0.000 0.000
0.000 5.922 0.000
0.000 0.000 5.922
```

No. 3
Here is crystalline ZrB6Mo2 at its relaxed geometry from Alexandria. Energies are from GGA-PBE. Values from VASP.

Calculated values
For the total energy, the calculation gives -8.325 eV/atom. As for the symmetry: P6/mmm (191). As for the magnetic moment: 0.0 μB per formula unit. Its density is 6.87 g/cm3.

```
&SYSTEM
  ibrav = 0, nat = 9, ntyp = 3
/
ATOMIC_SPECIES
Zr 91.22 Zr.upf
B 10.81 B.upf
Mo 95.94 Mo.upf
ATOMIC_POSITIONS crystal
Zr 0.000 0.000 0.000
B 0.000 0.337 0.500
B 0.000 0.663 0.500
B 0.337 0.000 0.500
B 0.337 0.337 0.500
B 0.663 0.000 0.500
B 0.663 0.663 0.500
Mo 0.333 0.667 0.000
Mo 0.667 0.333 0.000
CELL_PARAMETERS angstrom
5.316 0.000 0.000
-2.658 4.603 0.000
0.000 0.000 3.437
```

No. 4
Here is crystalline CaZrH2 at its relaxed geometry from Alexandria. Energies are from GGA-PBE. Values from VASP.

Calculated values
The energy relative to the lowest polymorph listed for this composition is 0 meV per atom. For the total energy, the calculation gives -4.591 eV/atom. As for the symmetry: R-3m (166). As for the magnetic moment: 0.0 μB per formula unit. Its density is 3.87 g/cm3.

```
&SYSTEM
  ibrav = 0, nat = 4, ntyp = 3
/
ATOMIC_SPECIES
Ca 40.08 Ca.upf
Zr 91.22 Zr.upf
H 1.01 H.upf
ATOMIC_POSITIONS crystal
Ca 0.000 0.000 0.000
Zr 0.500 0.500 0.500
H 0.219 0.219 0.219
H 0.781 0.781 0.781
CELL_PARAMETERS angstrom
1.701 0.982 5.707
-1.701 0.982 5.707
0.000 -1.964 5.707
```

No. 5
Here is crystalline CrCuAu6 at its relaxed geometry from Alexandria. Energies are from GGA-PBE. Values from VASP.

Calculated values
The energy relative to the lowest polymorph listed for this composition is 86 meV per atom. For the total energy, the calculation gives -4.067 eV/atom. As for the symmetry: R-3 (148). As for the magnetic moment: 4.1 μB per formula unit. Its density is 14.86 g/cm3.

```
&SYSTEM
  ibrav = 0, nat = 8, ntyp = 3
/
ATOMIC_SPECIES
Cr 52.00 Cr.upf
Cu 63.55 Cu.upf
Au 196.97 Au.upf
ATOMIC_POSITIONS crystal
Cr 0.000 0.000 0.000
Cu 0.500 0.500 0.500
Au 0.067 0.752 0.450
Au 0.248 0.550 0.933
Au 0.450 0.067 0.752
Au 0.550 0.933 0.248
Au 0.752 0.450 0.067
Au 0.933 0.248 0.550
CELL_PARAMETERS angstrom
3.852 2.224 2.821
-3.852 2.224 2.821
0.000 -4.448 2.821
```

No. 6
Here is crystalline Li2CaRh at its relaxed geometry from Alexandria. Energies are from GGA-PBE. Values from VASP.

Calculated values
The energy relative to the lowest polymorph listed for this composition is 122 meV per atom. For the total energy, the calculation gives -3.370 eV/atom. As for the symmetry: P2/m (10). As for the magnetic moment: 0.0 μB per formula unit. Its density is 3.41 g/cm3.

```
&SYSTEM
  ibrav = 0, nat = 4, ntyp = 3
/
ATOMIC_SPECIES
Li 6.94 Li.upf
Ca 40.08 Ca.upf
Rh 102.91 Rh.upf
ATOMIC_POSITIONS crystal
Li 0.210 0.000 0.311
Li 0.790 0.000 0.689
Ca 0.500 0.500 0.000
Rh 0.000 0.500 0.500
CELL_PARAMETERS angstrom
3.254 0.000 0.000
0.000 4.725 0.000
-0.678 0.000 4.968
```

No. 7
Here is crystalline ZrSO6 at its relaxed geometry from Alexandria. Energies are from GGA-PBE. Values from VASP.

Calculated values
For the uncorrected formation energy, the calculation gives -1213 meV per atom. The energy relative to the lowest polymorph listed for this composition is 617 meV per atom. For the total energy, the calculation gives -6.516 eV/atom. As for the symmetry: C2/m (12). As for the magnetic moment: 2.0 μB per formula unit. Its density is 3.69 g/cm3.

```
&SYSTEM
  ibrav = 0, nat = 8, ntyp = 3
/
ATOMIC_SPECIES
Zr 91.22 Zr.upf
S 32.06 S.upf
O 16.00 O.upf
ATOMIC_POSITIONS crystal
Zr 0.000 0.000 0.000
S 0.500 0.500 0.500
O 0.183 0.442 0.294
O 0.271 0.271 0.712
O 0.442 0.183 0.294
O 0.558 0.817 0.706
O 0.729 0.729 0.288
O 0.817 0.558 0.706
CELL_PARAMETERS angstrom
2.408 -4.441 0.000
2.408 4.441 0.000
-0.968 0.000 4.609
```

No. 8
Here is crystalline PuU4Pa3P8 at its relaxed geometry from Alexandria. Energies are from GGA-PBE. Values from VASP.

Calculated values
For the total energy, the calculation gives -9.328 eV/atom. As for the symmetry: R-3m (166). As for the magnetic moment: 12.8 μB per formula unit. Its density is 10.16 g/cm3.

```
&SYSTEM
  ibrav = 0, nat = 16, ntyp = 4
/
ATOMIC_SPECIES
Pu 244.00 Pu.upf
U 238.03 U.upf
Pa 231.04 Pa.upf
P 30.97 P.upf
ATOMIC_POSITIONS crystal
Pu 0.000 0.000 0.000
U 0.000 0.000 0.500
U 0.000 0.500 0.000
U 0.500 0.000 0.000
U 0.500 0.500 0.500
Pa 0.000 0.500 0.500
Pa 0.500 0.000 0.500
Pa 0.500 0.500 0.000
P 0.249 0.249 0.249
P 0.249 0.749 0.749
P 0.251 0.251 0.751
P 0.251 0.751 0.251
P 0.749 0.249 0.749
P 0.749 0.749 0.249
P 0.751 0.251 0.251
P 0.751 0.751 0.751
CELL_PARAMETERS angstrom
3.927 2.267 6.537
-3.927 2.267 6.537
0.000 -4.534 6.537
```

No. 9
Here is crystalline Ce2Cd2Pb at its relaxed geometry from Alexandria. Energies are from GGA-PBE. Values from VASP.

Calculated values
The energy relative to the lowest polymorph listed for this composition is 0 meV per atom. For the total energy, the calculation gives -3.658 eV/atom. As for the symmetry: C2/c (15). As for the magnetic moment: 2.4 μB per formula unit. Its density is 8.80 g/cm3.

```
&SYSTEM
  ibrav = 0, nat = 10, ntyp = 3
/
ATOMIC_SPECIES
Ce 140.12 Ce.upf
Cd 112.41 Cd.upf
Pb 207.20 Pb.upf
ATOMIC_POSITIONS crystal
Ce 0.027 0.758 0.702
Ce 0.242 0.973 0.798
Ce 0.758 0.027 0.202
Ce 0.973 0.242 0.298
Cd 0.173 0.418 0.196
Cd 0.418 0.173 0.696
Cd 0.582 0.827 0.304
Cd 0.827 0.582 0.804
Pb 0.352 0.648 0.250
Pb 0.648 0.352 0.750
CELL_PARAMETERS angstrom
8.229 -2.886 0.000
8.229 2.886 0.000
-1.035 0.000 5.661
```

No. 10
Here is crystalline Pr2Zn12Pt5 at its relaxed geometry from Alexandria. Energies are from GGA-PBE. Values from VASP.

Calculated values
For the total energy, the calculation gives -3.363 eV/atom. As for the symmetry: R-3m (166). As for the magnetic moment: 0.0 μB per formula unit. Its density is 10.45 g/cm3.

```
&SYSTEM
  ibrav = 0, nat = 19, ntyp = 3
/
ATOMIC_SPECIES
Pr 140.91 Pr.upf
Zn 65.41 Zn.upf
Pt 195.08 Pt.upf
ATOMIC_POSITIONS crystal
Pr 0.166 0.166 0.166
Pr 0.834 0.834 0.834
Zn 0.152 0.152 0.651
Zn 0.152 0.651 0.152
Zn 0.213 0.500 0.787
Zn 0.213 0.787 0.500
Zn 0.349 0.848 0.848
Zn 0.500 0.213 0.787
Zn 0.500 0.787 0.213
Zn 0.651 0.152 0.152
Zn 0.787 0.213 0.500
Zn 0.787 0.500 0.213
Zn 0.848 0.349 0.848
Zn 0.848 0.848 0.349
Pt 0.000 0.500 0.500
Pt 0.393 0.393 0.393
Pt 0.500 0.000 0.500
Pt 0.500 0.500 0.000
Pt 0.607 0.607 0.607
CELL_PARAMETERS angstrom
4.628 2.672 4.374
-4.628 2.672 4.374
0.000 -5.344 4.374
```